ScAu | GGA-PBE | relaxed

Values from the calculation:
SG   Cm

Cell lengths 5.2975, 5.2975, 7.2632 Å; angles 74.90, 74.90, 39.32 degrees
With the nearest neighbours (Å) after each atom.
Fractional positions:
Sc 0.9940 0.9940 0.6123  6 Au 2.81-3.05
Sc 0.2426 0.2426 0.9321  7 Au 2.84-2.99
Sc 0.3284 0.3284 0.3418  7 Au 2.81-2.90
Au 0.7032 0.7032 0.6473  7 Sc 2.81-2.85, 1 Au 3.09
Au 0.9447 0.9447 0.0322  6 Sc 2.85-2.95
Au 0.6204 0.6204 0.2677  7 Sc 2.81-3.05, 1 Au 3.09

Rb2BaAlH8 | GGA-PBE | relaxed

Values from the calculation:
SG   P-1

Cell lengths 4.6431, 7.4530, 7.0718 Å; angles 69.87, 89.99, 71.92 degrees
With the nearest neighbours (Å) after each atom.
Fractional positions:
H 0.0968 0.8052 0.9044  1 Al 1.74
H 0.9108 0.1792 0.7606  1 Al 1.71
H 0.6303 0.7382 0.5788  2 Ba 2.90, 2 Rb 3.07-3.23, 2 H 3.24
H 0.3955 0.0000 0.0000  1 H 0.97
H 0.6045 0.0000 0.0000  1 H 0.97
H 0.9032 0.1948 0.0956  1 Al 1.74
H 0.0892 0.8208 0.2394  1 Al 1.71
H 0.3697 0.2618 0.4212  2 Ba 2.90, 2 Rb 3.07-3.23, 2 H 3.24
Al 0.0000 0.0000 0.0000  6 H 1.71-1.84
Ba 0.0000 0.0000 0.5000  8 H 2.59-2.90
Rb 0.2968 0.4076 0.7813  5 H 2.78-3.07
Rb 0.7032 0.5924 0.2187  5 H 2.78-3.07

HoTm2Zr | GGA-PBE | relaxed

Values from the calculation:
SG   P4/mmm
Excess energy over the best structure of this formula in the dataset   8 kJ/mol of formula units

Cell lengths 4.8204, 4.8141, 4.8141 Å; angles 90.00, 90.00, 90.00 degrees
With the nearest neighbours (Å) after each atom.
Fractional positions:
Tm 0.0000 0.0000 0.5000  4 Tm 3.40, 4 Ho 3.41, 4 Zr 3.41
Tm 0.0000 0.5000 0.0000  4 Tm 3.40, 4 Ho 3.41, 4 Zr 3.41
Ho 0.5000 0.5000 0.5000  4 Zr 3.40, 8 Tm 3.41
Zr 0.5000 0.0000 0.0000  4 Ho 3.40, 8 Tm 3.41

Mg4Tl5Hg | GGA-PBE | relaxed

Values from the calculation:
SG   C2/m

Cell lengths 3.4427, 9.1278, 8.7201 Å; angles 87.13, 101.39, 90.00 degrees
With the nearest neighbours (Å) after each atom.
Fractional positions:
Mg 0.0393 0.2324 0.0787  2 Hg 2.84, 3 Tl 3.03-3.04
Mg 0.3216 0.9288 0.6432  1 Hg 3.15, 6 Mg 3.21-3.44, 5 Tl 3.31-3.42
Mg 0.6784 0.0712 0.3568  1 Hg 3.15, 6 Mg 3.21-3.44, 5 Tl 3.31-3.42
Mg 0.9607 0.7676 0.9213  2 Hg 2.84, 3 Tl 3.03-3.04
Tl 0.8530 0.2295 0.7060  4 Mg 3.19-3.38, 5 Tl 3.44-3.54
Tl 0.8099 0.6070 0.6198  1 Mg 3.03, 2 Tl 3.37
Tl 0.1470 0.7705 0.2940  4 Mg 3.19-3.38, 5 Tl 3.44-3.54
Tl 0.5000 0.5000 0.0000  4 Mg 3.04
Tl 0.1901 0.3930 0.3802  1 Mg 3.03, 2 Tl 3.37
Hg 0.5000 0.0000 0.0000  6 Mg 2.84-3.15

ThBeOsN | GGA-PBE | relaxed

Values from the calculation:
SG   P4/nmm
Raw formation energy   -3.47 eV/f.u.

Cell lengths 3.7565, 3.7565, 8.2770 Å; angles 90.00, 90.00, 90.00 degrees
With the nearest neighbours (Å) after each atom.
Fractional positions:
Be 0.5000 0.0000 0.6735  1 N 1.67
Be 0.0000 0.5000 0.3265  1 N 1.67
Th 0.5000 0.0000 0.1670  5 N 2.42-2.68
Th 0.0000 0.5000 0.8330  5 N 2.42-2.68
N 0.5000 0.0000 0.8747  1 Be 1.67
N 0.0000 0.5000 0.1253  1 Be 1.67
Os 0.0000 0.0000 0.5000  4 Be 2.36
Os 0.5000 0.5000 0.5000  4 Be 2.36

CeY3Zn2 | GGA-PBE | relaxed

Values from the calculation:
SG   P4/mmm

Cell lengths 3.5499, 3.5499, 12.2209 Å; angles 90.00, 90.00, 90.00 degrees
With the nearest neighbours (Å) after each atom.
Fractional positions:
Y 0.0000 0.0000 0.7066  4 Zn 3.08
Y 0.0000 0.0000 0.0000  8 Zn 3.09
Y 0.0000 0.0000 0.2934  4 Zn 3.08
Zn 0.5000 0.5000 0.1471  8 Y 3.08-3.09
Zn 0.5000 0.5000 0.8529  8 Y 3.08-3.09
Ce 0.5000 0.5000 0.5000  4 Ce 3.55, 8 Y 3.56

NdPa2Ga6 | GGA-PBE | relaxed

Values from the calculation:
SG   P6/mmm
Excess energy over the best structure of this formula in the dataset   0 kJ/mol of formula units

Cell lengths 3.5515, 7.7909, 7.7909 Å; angles 120.00, 90.00, 90.00 degrees
With the nearest neighbours (Å) after each atom.
Fractional positions:
Ga 0.5000 0.6642 0.0000  3 Ga 2.56-2.62
Ga 0.5000 0.3358 0.0000  3 Ga 2.56-2.62
Ga 0.5000 0.3358 0.3358  3 Ga 2.56-2.62
Ga 0.5000 0.6642 0.6642  3 Ga 2.56-2.62
Ga 0.5000 0.0000 0.6642  3 Ga 2.56-2.62
Ga 0.5000 0.0000 0.3358  3 Ga 2.56-2.62
Pa 0.0000 0.3333 0.6667  12 Ga 3.14
Pa 0.0000 0.6667 0.3333  12 Ga 3.14
Nd 0.0000 0.0000 0.0000  12 Ga 3.16

YAlAgMo2 | GGA-PBE | relaxed

Values from the calculation:
SG   P4/mmm

Cell lengths 4.8829, 5.1992, 4.8829 Å; angles 90.00, 90.00, 90.00 degrees
With the nearest neighbours (Å) after each atom.
Fractional positions:
Ag 0.0000 0.0000 0.0000  4 Mo 2.44, 2 Y 2.60
Mo 0.5000 0.0000 0.0000  2 Ag 2.44
Mo 0.0000 0.0000 0.5000  2 Ag 2.44
Y 0.0000 0.5000 0.0000  2 Ag 2.60
Al 0.5000 0.5000 0.5000  4 Y 3.45, 8 Mo 3.57

Sr2CdPb | GGA-PBE | relaxed

Values from the calculation:
SG   Cm
Excess energy over the best structure of this formula in the dataset   56 kJ/mol of formula units

Cell lengths 6.7042, 6.7042, 5.9429 Å; angles 73.96, 73.96, 33.01 degrees
With the nearest neighbours (Å) after each atom.
Fractional positions:
Pb 0.7774 0.7774 0.7794  2 Cd 3.31, 7 Sr 3.53-3.70
Sr 0.0201 0.0201 0.9453  4 Cd 3.53-3.61, 3 Pb 3.53-3.70, 4 Sr 3.81-3.93
Sr 0.2259 0.2259 0.3108  4 Pb 3.58-3.59, 3 Cd 3.59-3.61, 4 Sr 3.81-3.93
Cd 0.4766 0.4766 0.4645  2 Pb 3.31, 7 Sr 3.53-3.61

CdCu3Au6 | GGA-PBE | relaxed

Values from the calculation:
SG   Cmc2_1
Excess energy over the best structure of this formula in the dataset   87 kJ/mol of formula units

Cell lengths 6.1650, 7.7917, 7.7917 Å; angles 108.47, 90.00, 90.00 degrees
With the nearest neighbours (Å) after each atom.
Fractional positions:
Au 0.1282 0.7037 0.2963  3 Cu 2.63-2.75, 1 Cd 2.88, 2 Au 2.90
Au 0.6282 0.2963 0.7037  3 Cu 2.63-2.75, 1 Cd 2.88, 2 Au 2.90
Au 0.3000 0.5579 0.9331  3 Cu 2.62-2.78, 2 Au 2.81-2.90, 2 Cd 2.84-2.91
Au 0.3000 0.0669 0.4421  3 Cu 2.62-2.78, 2 Au 2.81-2.90, 2 Cd 2.84-2.91
Au 0.7699 0.0394 0.9606  4 Cu 2.68-2.72, 4 Au 2.90-2.99
Au 0.8000 0.4421 0.0669  3 Cu 2.62-2.78, 2 Au 2.81-2.90, 2 Cd 2.84-2.91
Au 0.2699 0.9606 0.0394  4 Cu 2.68-2.72, 4 Au 2.90-2.99
Au 0.1167 0.7442 0.6854  4 Cu 2.59-2.68, 1 Au 2.81
Au 0.6167 0.6854 0.7442  4 Cu 2.59-2.68, 1 Au 2.81
Au 0.8000 0.9331 0.5579  3 Cu 2.62-2.78, 2 Au 2.81-2.90, 2 Cd 2.84-2.91
Au 0.1167 0.3146 0.2558  4 Cu 2.59-2.68, 1 Au 2.81
Au 0.6167 0.2558 0.3146  4 Cu 2.59-2.68, 1 Au 2.81
Cd 0.0739 0.2285 0.7715  3 Cu 2.81-3.13, 6 Au 2.84-3.04
Cd 0.5739 0.7715 0.2285  3 Cu 2.81-3.13, 6 Au 2.84-3.04
Cu 0.8264 0.5569 0.4431  7 Au 2.59-2.78
Cu 0.9267 0.7297 0.9899  1 Cu 2.55, 7 Au 2.62-2.75, 1 Cd 2.81
Cu 0.4267 0.9899 0.7297  1 Cu 2.55, 7 Au 2.62-2.75, 1 Cd 2.81
Cu 0.9267 0.0101 0.2703  1 Cu 2.55, 7 Au 2.62-2.75, 1 Cd 2.81
Cu 0.4267 0.2703 0.0101  1 Cu 2.55, 7 Au 2.62-2.75, 1 Cd 2.81
Cu 0.3264 0.4431 0.5569  7 Au 2.59-2.78

KCoSe3 | GGA-PBE | relaxed

Values from the calculation:
SG   Pm-3m
Raw formation energy   7.56 eV/f.u.
Excess energy over the best structure of this formula in the dataset   814 kJ/mol of formula units

Cell lengths 5.5730, 5.5730, 5.5730 Å; angles 90.00, 90.00, 90.00 degrees
With the nearest neighbours (Å) after each atom.
Fractional positions:
Se 0.0000 0.0000 0.5000  2 K 2.79
Se 0.5000 0.0000 0.0000  2 K 2.79
Se 0.0000 0.5000 0.0000  2 K 2.79
K 0.0000 0.0000 0.0000  6 Se 2.79
Co 0.5000 0.5000 0.5000  12 Se 3.94

AcEr2Ga | GGA-PBE | relaxed

Values from the calculation:
SG   Fm-3m
Excess energy over the best structure of this formula in the dataset   125 kJ/mol of formula units

Cell lengths 5.4506, 5.4506, 5.4506 Å; angles 60.00, 60.00, 60.00 degrees
With the nearest neighbours (Å) after each atom.
Fractional positions:
Ac 0.0000 0.0000 0.0000  8 Er 3.34
Ga 0.5000 0.5000 0.5000  8 Er 3.34
Er 0.7500 0.7500 0.7500  4 Ac 3.34, 4 Ga 3.34
Er 0.2500 0.2500 0.2500  4 Ac 3.34, 4 Ga 3.34

| no. | E_tot (eV/atom) |
| --- | --- |
| 1 | -5.475 |
| 2 | -3.005 |
| 3 | -5.438 |
| 4 | -1.864 |
| 5 | -8.544 |
| 6 | -4.851 |
| 7 | -5.067 |
| 8 | -5.297 |
| 9 | -2.353 |
| 10 | -3.258 |
| 11 | -2.218 |
| 12 | -3.986 |